Below is LaHgRh2 after structural relaxation, with properties calculated at the PBE level.

```
4
Lattice="3.789 0.000 0.000 0.000 3.812 0.000 0.000 0.000 5.719" Properties=species:S:1:pos:R:3 pbc="T T T"
La 0.000 0.000 0.000
Hg 1.894 1.906 3.670
Rh 0.000 0.000 2.652
Rh 1.894 1.906 0.925
```

Properties
density of states at the Fermi level = 3.12 states/eV/f.u.
ΔH_f (0 K) = -0.25 eV/atom
magnetic moment = 0.0 μB/f.u.


Below is La6HgRh2 after structural relaxation, with properties calculated at the PBE level.

```
9
Lattice="5.334 -2.649 0.000 5.334 2.649 0.000 -1.526 0.000 9.327" Properties=species:S:1:pos:R:3 pbc="T T T"
La 0.223 0.000 3.274
La 1.934 0.000 8.310
La 3.616 0.000 3.164
La 5.525 0.000 6.163
La 7.207 0.000 1.017
La 8.919 0.000 6.052
Hg 0.000 0.000 0.000
Rh 1.917 0.000 5.742
Rh 7.224 0.000 3.585
```

Properties
density of states at the Fermi level = 10.54 states/eV/f.u.
ΔH_f (0 K) = -0.46 eV/atom
magnetic moment = 0.0 μB/f.u.


Below is La6Hg2Rh after structural relaxation, with properties calculated at the PBE level.

```
18
Lattice="7.214 0.000 0.000 0.000 7.632 0.000 -6.575 0.000 10.937" Properties=species:S:1:pos:R:3 pbc="T T T"
La -0.699 0.082 2.763
La -3.986 3.734 8.232
La 1.397 5.207 0.551
La -1.890 6.240 6.019
La 2.253 1.555 0.555
La -1.035 2.261 6.023
La 1.674 5.371 4.914
La -1.613 6.077 10.383
La 2.529 1.392 4.918
La -0.758 2.424 10.387
La 4.625 3.898 2.705
La 1.338 7.550 8.174
Hg -2.755 0.687 8.380
Hg 0.532 3.129 2.911
Hg 0.107 4.503 8.026
Hg 3.394 6.945 2.557
Rh 0.000 0.000 0.000
Rh -3.287 3.816 5.469
```

Properties
density of states at the Fermi level = 9.67 states/eV/f.u.
ΔH_f (0 K) = -0.37 eV/atom
magnetic moment = 0.0 μB/f.u.


Below is LaHgRh after structural relaxation, with properties calculated at the PBE level.

```
3
Lattice="4.713 0.000 0.000 -2.356 4.081 0.000 0.000 0.000 3.815" Properties=species:S:1:pos:R:3 pbc="T T T"
La 0.000 0.000 0.000
Hg 0.000 2.721 1.906
Rh 2.356 1.360 1.929
```

Properties
density of states at the Fermi level = 1.92 states/eV/f.u.
ΔH_f (0 K) = -0.45 eV/atom
magnetic moment = 0.0 μB/f.u.


Below is LaHgRh2 after structural relaxation, with properties calculated at the PBE level.

```
4
Lattice="4.105 0.000 0.000 0.000 1.978 5.148 0.000 -1.978 5.148" Properties=species:S:1:pos:R:3 pbc="T T T"
La 0.000 0.000 0.000
Hg 2.052 0.000 2.961
Rh 0.000 0.000 7.561
Rh 2.052 0.000 5.860
```

Properties
density of states at the Fermi level = 3.56 states/eV/f.u.
ΔH_f (0 K) = -0.38 eV/atom
magnetic moment = 0.0 μB/f.u.


Below is LaHg2Rh after structural relaxation, with properties calculated at the PBE level.

```
4
Lattice="2.451 1.415 4.780 -2.451 1.415 4.780 0.000 -2.831 4.780" Properties=species:S:1:pos:R:3 pbc="T T T"
La 0.000 0.000 0.000
Hg 0.000 0.000 3.212
Hg 0.000 0.000 6.574
Rh 0.000 0.000 11.748
```

Properties
density of states at the Fermi level = 2.53 states/eV/f.u.
ΔH_f (0 K) = -0.38 eV/atom
magnetic moment = 0.0 μB/f.u.


Below is La2Hg2Rh after structural relaxation, with properties calculated at the PBE level.

```
10
Lattice="6.232 -1.997 0.000 6.232 1.997 0.000 -4.864 0.000 11.013" Properties=species:S:1:pos:R:3 pbc="T T T"
La -0.659 0.000 4.182
La 1.757 0.000 1.252
La 5.844 0.000 9.761
La 8.260 0.000 6.830
Hg 2.936 0.000 4.266
Hg 5.115 0.000 1.451
Hg 2.486 0.000 9.562
Hg 4.665 0.000 6.747
Rh 0.219 0.000 7.789
Rh 7.382 0.000 3.223
```

Properties
density of states at the Fermi level = 2.78 states/eV/f.u.
ΔH_f (0 K) = -0.60 eV/atom
magnetic moment = 0.0 μB/f.u.


Below is LaHgRuRh2 after structural relaxation, with properties calculated at the PBE level.

```
5
Lattice="4.970 0.000 0.000 0.000 4.970 0.000 0.000 0.000 4.949" Properties=species:S:1:pos:R:3 pbc="T T T"
La 0.000 0.000 0.000
Hg 2.485 2.485 2.475
Ru 2.485 2.485 0.000
Rh 0.000 2.485 2.475
Rh 2.485 0.000 2.475
```

Properties
density of states at the Fermi level = 7.14 states/eV/f.u.
ΔH_f (0 K) = 0.92 eV/atom
magnetic moment = 2.1 μB/f.u.


density of states at the Fermi level of number 8 (LaHgRuRh2)?
7.14 states/eV/f.u.


Number 1 is which compound?
LaHgRh2


density of states at the Fermi level of number 3 (La6Hg2Rh)?
9.67 states/eV/f.u.